Material: CsMoOsO6
Method: DFT, PBE with a Hubbard U
State: relaxed

Cell lengths 7.4064, 7.2693, 7.3540 Å; angles 119.62, 120.24, 90.00 degrees
Last column: nearest neighbours and their distance in Å.
Element x y z (fractional)
O: 0.5560 0.9329 0.7437  1 Mo 1.93, 1 Os 1.96
Os: 0.5000 0.5000 0.0000  6 O 1.92-1.96
O: 0.8143 0.0643 0.6286  2 Mo 1.97
O: 0.1877 0.9329 0.7437  1 Mo 1.93, 1 Os 1.96
O: 0.8123 0.0671 0.2563  1 Mo 1.93, 1 Os 1.96
Cs: 0.8715 0.6215 0.7429  6 O 3.24-3.28
Mo: 0.0000 0.0000 0.5000  6 O 1.93-1.97
O: 0.8123 0.6892 0.2563  1 Mo 1.93, 1 Os 1.96
O: 0.4440 0.0671 0.2563  1 Mo 1.93, 1 Os 1.96
O: 0.5560 0.3108 0.7437  1 Mo 1.93, 1 Os 1.96
O: 0.1877 0.3108 0.7437  1 Mo 1.93, 1 Os 1.96
Os: 0.5000 0.0000 0.0000  6 O 1.92-1.96
O: 0.4440 0.6892 0.2563  1 Mo 1.93, 1 Os 1.96
O: 0.1857 0.9357 0.3714  2 Mo 1.97
O: 0.4393 0.6893 0.8786  2 Os 1.92
Cs: 0.1285 0.3785 0.2571  6 O 3.24-3.28
Mo: 0.5000 0.0000 0.5000  6 O 1.93-1.97
O: 0.5607 0.3107 0.1214  2 Os 1.92

Calculated values
The density comes out at 6.1 Mg/m³. For the total energy, the calculation gives -6.876 eV per atom.